(1)
# Y2Zn5Pd5, optimized geometry, DFT PBE
# Formation enthalpy at 0 K in eV per atom: -0.65
# Fermi-level density of states in states/eV/cell: 5.1
data_Y2Zn5Pd5
_chemical_formula_sum 'Y2 Zn5 Pd5'
_symmetry_space_group_name_H-M 'P 1'
_symmetry_Int_Tables_number 1
_symmetry_space_group_name_Hall 'P 1'
_cell_length_a 4.385
_cell_length_b 5.234
_cell_length_c 9.170
_cell_angle_alpha 90.00
_cell_angle_beta 90.00
_cell_angle_gamma 90.00
loop_
_atom_site_label
_atom_site_fract_x
_atom_site_fract_y
_atom_site_fract_z
_atom_site_occupancy
Y1 0.000 0.000 0.000 1
Y2 0.000 0.500 0.500 1
Zn1 0.500 0.000 0.500 1
Zn2 0.500 0.250 0.250 1
Zn3 0.500 0.250 0.750 1
Zn4 0.500 0.750 0.250 1
Zn5 0.500 0.750 0.750 1
Pd1 0.000 0.000 0.333 1
Pd2 0.000 0.000 0.667 1
Pd3 0.000 0.500 0.179 1
Pd4 0.000 0.500 0.821 1
Pd5 0.500 0.500 0.000 1



(2)
# CsAcPbCl6, optimized geometry, DFT PBE
# Fermi-level density of states in states/eV/cell: 0.0
# ΔE_f (raw) in eV/f.u.: -16.805
data_CsAcPbCl6
_chemical_formula_sum 'Cs2 Ac2 Pb2 Cl12'
_symmetry_space_group_name_H-M 'P 1'
_symmetry_Int_Tables_number 1
_symmetry_space_group_name_Hall 'P 1'
_cell_length_a 10.666
_cell_length_b 10.666
_cell_length_c 10.666
_cell_angle_alpha 121.79
_cell_angle_beta 119.55
_cell_angle_gamma 88.86
loop_
_atom_site_label
_atom_site_fract_x
_atom_site_fract_y
_atom_site_fract_z
_atom_site_occupancy
Cs1 0.294 0.044 0.250 1
Cs2 0.706 0.956 0.750 1
Ac1 0.000 0.500 0.500 1
Ac2 0.500 0.500 0.000 1
Pb1 0.000 0.000 0.500 1
Pb2 0.000 0.500 0.000 1
Cl1 0.060 0.407 0.234 1
Cl2 0.060 0.827 0.654 1
Cl3 0.075 0.825 0.250 1
Cl4 0.324 0.574 0.750 1
Cl5 0.327 0.173 0.734 1
Cl6 0.327 0.593 0.154 1
Cl7 0.673 0.407 0.846 1
Cl8 0.673 0.827 0.266 1
Cl9 0.676 0.426 0.250 1
Cl10 0.925 0.175 0.750 1
Cl11 0.940 0.173 0.346 1
Cl12 0.940 0.593 0.766 1



(3)
# AlF3, optimized geometry, DFT PBE
# Fermi-level density of states in states/eV/cell: 11.6
# ΔE_f (raw) in eV/f.u.: -5.275
data_AlF3
_chemical_formula_sum 'Al3 F9'
_symmetry_space_group_name_H-M 'P 1'
_symmetry_Int_Tables_number 1
_symmetry_space_group_name_Hall 'P 1'
_cell_length_a 3.282
_cell_length_b 3.282
_cell_length_c 23.721
_cell_angle_alpha 90.00
_cell_angle_beta 90.00
_cell_angle_gamma 120.00
loop_
_atom_site_label
_atom_site_fract_x
_atom_site_fract_y
_atom_site_fract_z
_atom_site_occupancy
Al1 0.000 0.000 0.000 1
Al2 0.333 0.667 0.667 1
Al3 0.667 0.333 0.333 1
F1 0.000 0.000 0.069 1
F2 0.000 0.000 0.500 1
F3 0.000 0.000 0.931 1
F4 0.333 0.667 0.167 1
F5 0.333 0.667 0.598 1
F6 0.333 0.667 0.736 1
F7 0.667 0.333 0.264 1
F8 0.667 0.333 0.402 1
F9 0.667 0.333 0.833 1



(4)
# Sm7Er12Sc, optimized geometry, DFT PBE
# Energy above the lowest structure with this stoichiometry in eV per atom: 0.472
# Formation enthalpy at 0 K in eV per atom: 0.71
# Fermi-level density of states in states/eV/cell: 28.8
data_Sm7Er12Sc
_chemical_formula_sum 'Sm7 Er12 Sc1'
_symmetry_space_group_name_H-M 'P 1'
_symmetry_Int_Tables_number 1
_symmetry_space_group_name_Hall 'P 1'
_cell_length_a 9.692
_cell_length_b 9.692
_cell_length_c 9.692
_cell_angle_alpha 109.47
_cell_angle_beta 109.47
_cell_angle_gamma 109.47
loop_
_atom_site_label
_atom_site_fract_x
_atom_site_fract_y
_atom_site_fract_z
_atom_site_occupancy
Sm1 0.000 0.000 0.500 1
Sm2 0.000 0.500 0.000 1
Sm3 0.000 0.500 0.500 1
Sm4 0.500 0.000 0.000 1
Sm5 0.500 0.000 0.500 1
Sm6 0.500 0.500 0.000 1
Sm7 0.500 0.500 0.500 1
Er1 0.000 0.242 0.758 1
Er2 0.000 0.758 0.242 1
Er3 0.242 0.000 0.758 1
Er4 0.242 0.242 0.483 1
Er5 0.242 0.483 0.242 1
Er6 0.242 0.758 0.000 1
Er7 0.483 0.242 0.242 1
Er8 0.517 0.758 0.758 1
Er9 0.758 0.000 0.242 1
Er10 0.758 0.242 0.000 1
Er11 0.758 0.517 0.758 1
Er12 0.758 0.758 0.517 1
Sc1 0.000 0.000 0.000 1



(5)
# Pu2MgGe, optimized geometry, DFT PBE
# Energy above the lowest structure with this stoichiometry in eV per atom: 0.040
# Formation enthalpy at 0 K in eV per atom: -0.14
# Fermi-level density of states in states/eV/cell: 13.7
data_Pu2MgGe
_chemical_formula_sum 'Pu2 Mg1 Ge1'
_symmetry_space_group_name_H-M 'P 1'
_symmetry_Int_Tables_number 1
_symmetry_space_group_name_Hall 'P 1'
_cell_length_a 3.947
_cell_length_b 3.947
_cell_length_c 6.020
_cell_angle_alpha 90.00
_cell_angle_beta 90.00
_cell_angle_gamma 90.00
loop_
_atom_site_label
_atom_site_fract_x
_atom_site_fract_y
_atom_site_fract_z
_atom_site_occupancy
Pu1 0.000 0.000 0.227 1
Pu2 0.000 0.000 0.773 1
Mg1 0.500 0.500 0.500 1
Ge1 0.500 0.500 0.000 1



(6)
# NdTm6Th4, optimized geometry, DFT PBE
# Formation enthalpy at 0 K in eV per atom: 0.51
# Fermi-level density of states in states/eV/cell: 15.2
data_NdTm6Th4
_chemical_formula_sum 'Nd1 Tm6 Th4'
_symmetry_space_group_name_H-M 'P 1'
_symmetry_Int_Tables_number 1
_symmetry_space_group_name_Hall 'P 1'
_cell_length_a 8.460
_cell_length_b 8.460
_cell_length_c 8.460
_cell_angle_alpha 124.15
_cell_angle_beta 124.15
_cell_angle_gamma 82.95
loop_
_atom_site_label
_atom_site_fract_x
_atom_site_fract_y
_atom_site_fract_z
_atom_site_occupancy
Nd1 0.000 0.000 0.000 1
Tm1 0.000 0.500 0.500 1
Tm2 0.082 0.554 0.000 1
Tm3 0.446 0.446 0.527 1
Tm4 0.500 0.000 0.500 1
Tm5 0.554 0.082 0.000 1
Tm6 0.918 0.918 0.473 1
Th1 0.260 0.260 0.669 1
Th2 0.409 0.740 0.000 1
Th3 0.591 0.591 0.331 1
Th4 0.740 0.409 0.000 1



(7)
# Cs2RbPb, optimized geometry, DFT PBE
# Energy above the lowest structure with this stoichiometry in eV per atom: 0.360
# Formation enthalpy at 0 K in eV per atom: 0.30
# Fermi-level density of states in states/eV/cell: 14.6
data_Cs2RbPb
_chemical_formula_sum 'Cs6 Rb3 Pb3'
_symmetry_space_group_name_H-M 'P 1'
_symmetry_Int_Tables_number 1
_symmetry_space_group_name_Hall 'P 1'
_cell_length_a 4.540
_cell_length_b 4.540
_cell_length_c 49.305
_cell_angle_alpha 90.00
_cell_angle_beta 90.00
_cell_angle_gamma 120.00
loop_
_atom_site_label
_atom_site_fract_x
_atom_site_fract_y
_atom_site_fract_z
_atom_site_occupancy
Cs1 0.000 0.000 0.076 1
Cs2 0.000 0.000 0.924 1
Cs3 0.333 0.667 0.591 1
Cs4 0.333 0.667 0.742 1
Cs5 0.667 0.333 0.258 1
Cs6 0.667 0.333 0.409 1
Rb1 0.000 0.000 0.500 1
Rb2 0.333 0.667 0.167 1
Rb3 0.667 0.333 0.833 1
Pb1 0.000 0.000 0.000 1
Pb2 0.333 0.667 0.667 1
Pb3 0.667 0.333 0.333 1



(8)
# Er2AlZn, optimized geometry, DFT PBE
# Formation enthalpy at 0 K in eV per atom: 0.15
# Fermi-level density of states in states/eV/cell: 7.5
data_Er2AlZn
_chemical_formula_sum 'Er6 Al3 Zn3'
_symmetry_space_group_name_H-M 'P 1'
_symmetry_Int_Tables_number 1
_symmetry_space_group_name_Hall 'P 1'
_cell_length_a 3.405
_cell_length_b 3.405
_cell_length_c 31.711
_cell_angle_alpha 90.00
_cell_angle_beta 90.00
_cell_angle_gamma 120.00
loop_
_atom_site_label
_atom_site_fract_x
_atom_site_fract_y
_atom_site_fract_z
_atom_site_occupancy
Er1 0.000 0.000 0.095 1
Er2 0.000 0.000 0.905 1
Er3 0.333 0.667 0.571 1
Er4 0.333 0.667 0.762 1
Er5 0.667 0.333 0.238 1
Er6 0.667 0.333 0.429 1
Al1 0.000 0.000 0.500 1
Al2 0.333 0.667 0.167 1
Al3 0.667 0.333 0.833 1
Zn1 0.000 0.000 0.000 1
Zn2 0.333 0.667 0.667 1
Zn3 0.667 0.333 0.333 1



(9)
# CoPW2, optimized geometry, DFT PBE
# Formation enthalpy at 0 K in eV per atom: 0.95
# Fermi-level density of states in states/eV/cell: 18.9
data_CoPW2
_chemical_formula_sum 'Co4 P4 W8'
_symmetry_space_group_name_H-M 'P 1'
_symmetry_Int_Tables_number 1
_symmetry_space_group_name_Hall 'P 1'
_cell_length_a 5.496
_cell_length_b 5.496
_cell_length_c 10.173
_cell_angle_alpha 90.00
_cell_angle_beta 90.00
_cell_angle_gamma 90.00
loop_
_atom_site_label
_atom_site_fract_x
_atom_site_fract_y
_atom_site_fract_z
_atom_site_occupancy
Co1 0.000 0.000 0.000 1
Co2 0.000 0.500 0.250 1
Co3 0.500 0.000 0.750 1
Co4 0.500 0.500 0.500 1
P1 0.000 0.000 0.500 1
P2 0.000 0.500 0.750 1
P3 0.500 0.000 0.250 1
P4 0.500 0.500 0.000 1
W1 0.234 0.250 0.125 1
W2 0.250 0.734 0.375 1
W3 0.250 0.766 0.875 1
W4 0.266 0.250 0.625 1
W5 0.734 0.750 0.625 1
W6 0.750 0.234 0.875 1
W7 0.750 0.266 0.375 1
W8 0.766 0.750 0.125 1



(10)
# Dy2Tm3Tl4, optimized geometry, DFT PBE
# Energy above the lowest structure with this stoichiometry in eV per atom: 0.095
# Formation enthalpy at 0 K in eV per atom: -0.18
# Fermi-level density of states in states/eV/cell: 11.9
data_Dy2Tm3Tl4
_chemical_formula_sum 'Dy4 Tm6 Tl8'
_symmetry_space_group_name_H-M 'P 1'
_symmetry_Int_Tables_number 1
_symmetry_space_group_name_Hall 'P 1'
_cell_length_a 8.760
_cell_length_b 8.760
_cell_length_c 9.175
_cell_angle_alpha 90.00
_cell_angle_beta 90.00
_cell_angle_gamma 132.24
loop_
_atom_site_label
_atom_site_fract_x
_atom_site_fract_y
_atom_site_fract_z
_atom_site_occupancy
Dy1 0.111 0.889 0.929 1
Dy2 0.389 0.611 0.429 1
Dy3 0.611 0.389 0.571 1
Dy4 0.889 0.111 0.071 1
Tm1 0.000 0.000 0.500 1
Tm2 0.039 0.461 0.750 1
Tm3 0.461 0.039 0.250 1
Tm4 0.500 0.500 0.000 1
Tm5 0.539 0.961 0.750 1
Tm6 0.961 0.539 0.250 1
Tl1 0.190 0.810 0.541 1
Tl2 0.229 0.271 0.750 1
Tl3 0.271 0.229 0.250 1
Tl4 0.310 0.690 0.041 1
Tl5 0.690 0.310 0.959 1
Tl6 0.729 0.771 0.750 1
Tl7 0.771 0.729 0.250 1
Tl8 0.810 0.190 0.459 1



- The highest Fermi-level density of states belongs to which entry?
  Sm7Er12Sc